# NaSn2Br8 GGA-PBE optimized geometry
# - relative energy among the computed polymorphs (eV/f.u.) = 0.29
# - formation energy (no corrections) (eV/atom) = -0.735
data_NaSn2Br8
_chemical_formula_sum 'Na1 Sn2 Br8'
_space_group_name_H-M_alt 'P -3 m 1'
_space_group_IT_number 164
_space_group_name_Hall '-P 3 2"'
_cell_length_a 7.9397
_cell_length_b 7.9397
_cell_length_c 9.7107
_cell_angle_alpha 90.00
_cell_angle_beta 90.00
_cell_angle_gamma 120.00
loop_
_atom_site_label
_atom_site_fract_x
_atom_site_fract_y
_atom_site_fract_z
Na1 0.0000 0.0000 0.0000
Sn1 0.3333 0.6667 0.3004
Br1 0.1529 0.3058 0.2280
Br2 0.3333 0.6667 0.5596

---

# RbCaAsSe2 GGA-PBE optimized geometry
# - relative energy among the computed polymorphs (eV/f.u.) = 4.16
# - formation energy (no corrections) (eV/atom) = 0.465
data_RbCaAsSe2
_chemical_formula_sum 'Rb1 Ca1 As1 Se2'
_space_group_name_H-M_alt 'P 4/m m m'
_space_group_IT_number 123
_space_group_name_Hall '-P 4 2'
_cell_length_a 5.7498
_cell_length_b 5.7498
_cell_length_c 5.4613
_cell_angle_alpha 90.00
_cell_angle_beta 90.00
_cell_angle_gamma 90.00
loop_
_atom_site_label
_atom_site_fract_x
_atom_site_fract_y
_atom_site_fract_z
Rb1 0.0000 0.0000 0.0000
Ca1 0.5000 0.5000 0.5000
As1 0.0000 0.0000 0.5000
Se1 0.0000 0.5000 0.0000

---

# GeBTe2 GGA-PBE optimized geometry
# - relative energy among the computed polymorphs (eV/f.u.) = 2.29
# - formation energy (no corrections) (eV/atom) = 1.075
data_GeBTe2
_chemical_formula_sum 'Ge4 B4 Te8'
_space_group_name_H-M_alt 'F m -3 m'
_space_group_IT_number 225
_space_group_name_Hall '-F 4 2 3'
_cell_length_a 6.9876
_cell_length_b 6.9876
_cell_length_c 6.9876
_cell_angle_alpha 90.00
_cell_angle_beta 90.00
_cell_angle_gamma 90.00
loop_
_atom_site_label
_atom_site_fract_x
_atom_site_fract_y
_atom_site_fract_z
Ge1 0.0000 0.0000 0.0000
B1 0.0000 0.0000 0.5000
Te1 0.2500 0.2500 0.2500

---

# LuThAl4 GGA-PBE optimized geometry
# - formation energy from the elements (eV per atom) = -0.43
data_LuThAl4
_chemical_formula_sum 'Lu4 Th4 Al16'
_space_group_name_H-M_alt 'F -4 3 m'
_space_group_IT_number 216
_space_group_name_Hall 'F -4 2 3'
_cell_length_a 7.9276
_cell_length_b 7.9276
_cell_length_c 7.9276
_cell_angle_alpha 90.00
_cell_angle_beta 90.00
_cell_angle_gamma 90.00
loop_
_atom_site_label
_atom_site_fract_x
_atom_site_fract_y
_atom_site_fract_z
Lu1 0.0000 0.0000 0.0000
Th1 0.2500 0.2500 0.2500
Al1 0.1250 0.1250 0.6250

---

# Sc2TiTlAs GGA-PBE optimized geometry
# - formation energy from the elements (eV per atom) = 0.63
data_Sc2TiTlAs
_chemical_formula_sum 'Sc2 Ti1 Tl1 As1'
_space_group_name_H-M_alt 'P 4/m m m'
_space_group_IT_number 123
_space_group_name_Hall '-P 4 2'
_cell_length_a 4.9633
_cell_length_b 4.9633
_cell_length_c 5.2371
_cell_angle_alpha 90.00
_cell_angle_beta 90.00
_cell_angle_gamma 90.00
loop_
_atom_site_label
_atom_site_fract_x
_atom_site_fract_y
_atom_site_fract_z
Sc1 0.0000 0.5000 0.0000
Ti1 0.0000 0.0000 0.0000
Tl1 0.0000 0.0000 0.5000
As1 0.5000 0.5000 0.5000

---

# NaMg5Tl6 GGA-PBE optimized geometry
# - relative energy among the computed polymorphs (eV/f.u.) = 0.00
# - formation energy from the elements (eV per atom) = -0.05
data_NaMg5Tl6
_chemical_formula_sum 'Na2 Mg10 Tl12'
_space_group_name_H-M_alt 'C 1 2/m 1'
_space_group_IT_number 12
_cell_length_a 8.7136
_cell_length_b 16.2762
_cell_length_c 5.2343
_cell_angle_alpha 90.00
_cell_angle_beta 125.01
_cell_angle_gamma 90.00
loop_
_space_group_symop_operation_xyz
'x,y,z'
'-x,-y,-z'
'-x,y,-z'
'x,-y,z'
'x+1/2,y+1/2,z'
'-x+1/2,-y+1/2,-z'
'-x+1/2,y+1/2,-z'
'x+1/2,-y+1/2,z'
loop_
_atom_site_label
_atom_site_fract_x
_atom_site_fract_y
_atom_site_fract_z
Na1 0.0000 0.0000 0.0000
Mg1 0.0000 0.1662 0.5000
Mg2 0.0000 0.3335 0.0000
Mg3 0.0000 0.5000 0.5000
Tl1 0.2445 0.5000 0.2452
Tl2 0.2488 0.3318 0.7500

---

# CuAs3H GGA-PBE optimized geometry
# - relative energy among the computed polymorphs (eV/f.u.) = 0.00
data_CuAs3H
_chemical_formula_sum 'Cu1 As3 H1'
_space_group_name_H-M_alt 'P m -3 m'
_space_group_IT_number 221
_space_group_name_Hall '-P 4 2 3'
_cell_length_a 4.2253
_cell_length_b 4.2253
_cell_length_c 4.2253
_cell_angle_alpha 90.00
_cell_angle_beta 90.00
_cell_angle_gamma 90.00
loop_
_atom_site_label
_atom_site_fract_x
_atom_site_fract_y
_atom_site_fract_z
Cu1 0.0000 0.0000 0.0000
As1 0.0000 0.5000 0.5000
H1 0.5000 0.5000 0.5000

---

# LiW5 GGA-PBE optimized geometry
# - relative energy among the computed polymorphs (eV/f.u.) = 1.03
# - formation energy from the elements (eV per atom) = 0.47
data_LiW5
_chemical_formula_sum 'Li2 W10'
_space_group_name_H-M_alt 'A m m 2'
_space_group_IT_number 38
_cell_length_a 4.6205
_cell_length_b 2.6144
_cell_length_c 15.9132
_cell_angle_alpha 90.00
_cell_angle_beta 90.00
_cell_angle_gamma 90.00
loop_
_space_group_symop_operation_xyz
'x,y,z'
'-x,-y,z'
'-x,y,z'
'x,-y,z'
'x,y+1/2,z+1/2'
'-x,-y+1/2,z+1/2'
'-x,y+1/2,z+1/2'
'x,-y+1/2,z+1/2'
loop_
_atom_site_label
_atom_site_fract_x
_atom_site_fract_y
_atom_site_fract_z
Li1 0.0000 0.0000 0.0000
W1 0.0000 0.0000 0.3338
W2 0.0000 0.0000 0.6614
W3 0.5000 0.0000 0.2356
W4 0.5000 0.0000 0.5662
W5 0.5000 0.0000 0.9051

---

# TlTeRh2 GGA-PBE optimized geometry
# - relative energy among the computed polymorphs (eV/f.u.) = 0.05
# - formation energy (no corrections) (eV/atom) = -0.001
data_TlTeRh2
_chemical_formula_sum 'Tl2 Te2 Rh4'
_space_group_name_H-M_alt 'A m m 2'
_space_group_IT_number 38
_cell_length_a 4.3874
_cell_length_b 3.2430
_cell_length_c 10.9966
_cell_angle_alpha 90.00
_cell_angle_beta 90.00
_cell_angle_gamma 90.00
loop_
_space_group_symop_operation_xyz
'x,y,z'
'-x,-y,z'
'-x,y,z'
'x,-y,z'
'x,y+1/2,z+1/2'
'-x,-y+1/2,z+1/2'
'-x,y+1/2,z+1/2'
'x,-y+1/2,z+1/2'
loop_
_atom_site_label
_atom_site_fract_x
_atom_site_fract_y
_atom_site_fract_z
Tl1 0.0000 0.0000 0.0000
Te1 0.5000 0.0000 0.7232
Rh1 0.0000 0.0000 0.2619
Rh2 0.5000 0.0000 0.4246

---

# Sr6Cd5Sn GGA-PBE optimized geometry
# - formation energy from the elements (eV per atom) = -0.40
data_Sr6Cd5Sn
_chemical_formula_sum 'Sr12 Cd10 Sn2'
_space_group_name_H-M_alt 'I m m m'
_space_group_IT_number 71
_space_group_name_Hall '-I 2 2'
_cell_length_a 5.7241
_cell_length_b 8.1767
_cell_length_c 17.1732
_cell_angle_alpha 90.00
_cell_angle_beta 90.00
_cell_angle_gamma 90.00
loop_
_atom_site_label
_atom_site_fract_x
_atom_site_fract_y
_atom_site_fract_z
Sr1 0.0000 0.2474 0.0000
Sr2 0.0000 0.2516 0.3348
Cd1 0.0000 0.0000 0.1701
Cd2 0.0000 0.0000 0.5000
Cd3 0.0000 0.5000 0.1651
Sn1 0.0000 0.5000 0.5000

---

# OsPdRh2S GGA-PBE optimized geometry
# - formation energy (no corrections) (eV/atom) = 0.577
data_OsPdRh2S
_chemical_formula_sum 'Os1 Pd1 Rh2 S1'
_space_group_name_H-M_alt 'P 4/m m m'
_space_group_IT_number 123
_space_group_name_Hall '-P 4 2'
_cell_length_a 4.3418
_cell_length_b 4.3418
_cell_length_c 4.3285
_cell_angle_alpha 90.00
_cell_angle_beta 90.00
_cell_angle_gamma 90.00
loop_
_atom_site_label
_atom_site_fract_x
_atom_site_fract_y
_atom_site_fract_z
Os1 0.0000 0.0000 0.0000
Pd1 0.5000 0.5000 0.0000
Rh1 0.0000 0.5000 0.5000
S1 0.0000 0.0000 0.5000

---

# Tl3HgRh GGA-PBE optimized geometry
# - relative energy among the computed polymorphs (eV/f.u.) = 0.39
# - formation energy from the elements (eV per atom) = 0.05
data_Tl3HgRh
_chemical_formula_sum 'Tl12 Hg4 Rh4'
_space_group_name_H-M_alt 'P n m a'
_space_group_IT_number 62
_cell_length_a 6.3113
_cell_length_b 9.5495
_cell_length_c 8.5614
_cell_angle_alpha 90.00
_cell_angle_beta 90.00
_cell_angle_gamma 90.00
loop_
_space_group_symop_operation_xyz
'x,y,z'
'-x,-y,-z'
'-x+1/2,-y,z+1/2'
'x+1/2,y,-z+1/2'
'x+1/2,-y+1/2,-z+1/2'
'-x+1/2,y+1/2,z+1/2'
'-x,y+1/2,-z'
'x,-y+1/2,z'
loop_
_atom_site_label
_atom_site_fract_x
_atom_site_fract_y
_atom_site_fract_z
Tl1 0.1586 0.0475 0.1988
Tl2 0.2248 0.7500 0.3949
Hg1 0.2330 0.7500 0.0103
Rh1 0.0000 0.0000 0.5000